No. 1
LiPd4Pb3 after structural relaxation, computed with PBE-GGA.

Calculated values
**Crystal system**: tetragonal
**Energy above the lowest structure with this stoichiometry**: 0 meV per atom
**Magnetization**: 0.0 μB/f.u.
**E_form**: -2.28 eV per formula unit

Cell: 4.759 4.759 13.516 Å, 90.00 90.00 90.00°
Space group I4/mmm (No. 139)
Unique sites:
Li1 0.000 0.000 0.000 [2 per cell]
Pd1 0.000 0.500 0.113 [8 per cell]
Pb1 0.000 0.000 0.239 [4 per cell]
Pb2 0.000 0.000 0.500 [2 per cell]

No. 2
TmAg2GeTe4 after structural relaxation, computed with PBE-GGA.

Calculated values
**Crystal system**: monoclinic
**ΔE_f (raw)**: -0.402 eV/atom
**Magnetization**: 0.0 μB/f.u.

Cell: 7.217 4.281 7.516 Å, 90.00 109.27 90.00°
Space group P2/m (No. 10)
Unique sites:
Tm1 0.000 0.000 0.000 [1 per cell]
Ag1 0.500 0.000 0.500 [1 per cell]
Ag2 0.500 0.500 0.000 [1 per cell]
Ge1 0.000 0.500 0.500 [1 per cell]
Te1 0.250 0.000 0.743 [2 per cell]
Te2 0.250 0.500 0.255 [2 per cell]

No. 3
SrLu2In after structural relaxation, computed with PBE-GGA.

Calculated values
**Crystal system**: tetragonal
**Energy above the lowest structure with this stoichiometry**: 0 meV per atom
**Magnetization**: 0.0 μB/f.u.
**E_form**: -0.37 eV per formula unit

Cell: 3.651 3.651 9.683 Å, 90.00 90.00 90.00°
Space group P4/mmm (No. 123)
Unique sites:
Sr1 0.000 0.000 0.000 [1 per cell]
Lu1 0.500 0.500 0.303 [2 per cell]
In1 0.000 0.000 0.500 [1 per cell]